1.
# PrSmZnPt

A relaxed PrSmZnPt crystal (PBE, Alexandria via LeMat-Bulk).

```
PrSmZnPt
1.0
3.9772 0.0000 0.0000
0.0000 4.5182 0.0000
-1.9886 0.0000 5.5429
Pr Pt Sm Zn
1 1 1 1
direct
0.1404 0.0000 0.2809 Pr
0.4268 0.0000 0.8536 Pt
0.8605 0.5000 0.7209 Sm
0.5723 0.5000 0.1446 Zn
```

Computed properties:
**Symmetry**: Amm2, No. 38
**Total energy**: -4.93 eV/atom
**Size of the total moment**: 0.000 μB per formula unit
**ΔE to the lowest computed polymorph**: 0.00 eV/f.u.
**Energy of formation**: -727 meV per atom

=====

2.
# MgCd14In

A relaxed MgCd14In crystal (PBE, Alexandria via LeMat-Bulk).

```
MgCd14In
1.0
6.2197 -0.0762 0.0000
-2.5077 5.6922 0.0000
0.0000 0.0000 10.3969
Cd Mg In
14 1 1
direct
0.2188 0.7812 0.0000 Cd
0.8735 0.1265 0.7466 Cd
0.3764 0.6236 0.7552 Cd
0.7210 0.7841 0.0000 Cd
0.3764 0.6236 0.2448 Cd
0.7179 0.2821 0.0000 Cd
0.8735 0.1265 0.2534 Cd
0.8809 0.6311 0.7512 Cd
0.0235 0.4608 0.5000 Cd
0.2159 0.2790 0.0000 Cd
0.3689 0.1191 0.2488 Cd
0.8809 0.6311 0.2488 Cd
0.5392 0.9765 0.5000 Cd
0.3689 0.1191 0.7512 Cd
0.0372 0.9628 0.5000 Mg
0.5272 0.4728 0.5000 In
```

Computed properties:
**Symmetry**: Amm2, No. 38
**Total energy**: -1.07 eV/atom
**Size of the total moment**: 0.000 μB per formula unit
**Energy of formation**: 2 meV per atom

=====

The lowest total energy belongs to which entry?
PrSmZnPt